[1]
Computed, not measured: a geometry-optimized HfScCdGa structure at the PBE level of DFT.

The space group is F-43m (No. 216) and the conventional cell measures 6.840, 6.840 and 6.840 Å, with angles of 90.00, 90.00 and 90.00 degrees. The asymmetric unit holds Hf at (0.000, 0.000, 0.000), Sc at (0.000, 0.000, 0.500), Cd at (0.250, 0.250, 0.250) and Ga at (0.250, 0.250, 0.750).

As for the mass density: 8.418 Mg/m³. The calculation puts the formation energy at -0.25 eV/atom.

***

[2]
Computed, not measured: a geometry-optimized CdBW structure at the PBE level of DFT.

The space group is Cm (No. 8) and the conventional cell measures 19.329, 3.006 and 3.043 Å, with angles of 90.00, 90.09 and 90.00 degrees. The asymmetric unit holds Cd at (0.000, 0.000, 0.000), Cd at (0.117, 0.500, 0.500), B at (0.234, 0.500, 0.995), B at (0.332, 0.500, 0.998), W at (0.259, 0.000, 0.495) and W at (0.389, 0.000, 0.498).

As for the mass density: 11.535 Mg/m³. The energy relative to the lowest polymorph listed for this composition is 234 meV per atom. The calculation puts the formation energy at 0.23 eV/atom.

***

[3]
Computed, not measured: a geometry-optimized V3PtRh structure at the PBE level of DFT.

The space group is P2_1/m (No. 11) and the conventional cell measures 5.109, 6.359 and 5.181 Å, with angles of 90.00, 117.89 and 90.00 degrees. The asymmetric unit holds V at (0.146, 0.250, 0.340), V at (0.335, 0.568, 0.182), Pt at (0.160, 0.250, 0.827) and Rh at (0.331, 0.750, 0.667).

As for the mass density: 10.063 Mg/m³. The energy relative to the lowest polymorph listed for this composition is 0 meV per atom. The calculation puts the formation energy at -0.13 eV/atom.

***

[4]
Computed, not measured: a geometry-optimized LaHo2Th2 structure at the PBE level of DFT.

The space group is P-3m1 (No. 164) and the conventional cell measures 3.5846, 3.5846 and 14.6793 Å, with angles of 90.00, 90.00 and 120.00 degrees. The asymmetric unit holds La at (0.0000, 0.0000, 0.0000), Ho at (0.3333, 0.6667, 0.7977) and Th at (0.3333, 0.6667, 0.4014).

As for the mass density: 9.483 Mg/m³. The energy relative to the lowest polymorph listed for this composition is 17 meV per atom. The calculation puts the formation energy at 0.04 eV/atom.

***

[5]
Computed, not measured: a geometry-optimized Mg4GaIr structure at the PBE level of DFT.

The space group is I4/mcm (No. 140) and the conventional cell measures 6.643, 6.643 and 10.706 Å, with angles of 90.00, 90.00 and 90.00 degrees. The asymmetric unit holds Mg at (0.168, 0.332, 0.139), Ga at (0.000, 0.000, 0.000) and Ir at (0.000, 0.000, 0.250).

As for the mass density: 5.050 Mg/m³. The calculation puts the formation energy at -0.26 eV/atom.

***

[6]
Computed, not measured: a geometry-optimized SrLaTe2 structure at the PBE level of DFT.

The space group is R-3m (No. 166, hexagonal axes) and the conventional cell measures 4.8159, 4.8159 and 28.9118 Å, with angles of 90.00, 90.00 and 120.00 degrees. The asymmetric unit holds Sr at (0.0000, 0.0000, 0.0000), La at (0.0000, 0.0000, 0.5000) and Te at (0.0000, 0.0000, 0.3968).

As for the mass density: 4.132 Mg/m³. Its formation energy (no corrections) is -970 meV/atom. The energy relative to the lowest polymorph listed for this composition is 688 meV per atom.

***

Result set for energy: -5.31 -6.62 -8.28 -5.75 -3.31 -4.19 eV/atom, one per record in the order listed.
Result set for D(E_F): 8.1 5.1 11.9 6.9 11.2 3.3 states/eV per cell, one per record in the order listed.